This record from the Alexandria database describes a geometry-optimized SrV13O18 structure. The functional is GGA+U. Values from VASP.

```
&SYSTEM
  ibrav = 0, nat = 32, ntyp = 3
/
ATOMIC_SPECIES
Sr 87.62 Sr.upf
V 50.94 V.upf
O 16.00 O.upf
CELL_PARAMETERS angstrom
6.574 3.795 2.503
-6.574 3.795 2.503
0.000 -7.591 2.503
ATOMIC_POSITIONS crystal
Sr 0.000 0.000 0.000
V 0.072 0.879 0.564
V 0.121 0.436 0.928
V 0.233 0.601 0.658
V 0.342 0.767 0.399
V 0.399 0.342 0.767
V 0.436 0.928 0.121
V 0.500 0.500 0.500
V 0.564 0.072 0.879
V 0.601 0.658 0.233
V 0.658 0.233 0.601
V 0.767 0.399 0.342
V 0.879 0.564 0.072
V 0.928 0.121 0.436
O 0.052 0.597 0.383
O 0.121 0.173 0.739
O 0.173 0.739 0.121
O 0.227 0.331 0.503
O 0.261 0.879 0.827
O 0.331 0.503 0.227
O 0.383 0.052 0.597
O 0.403 0.617 0.948
O 0.497 0.773 0.669
O 0.503 0.227 0.331
O 0.597 0.383 0.052
O 0.617 0.948 0.403
O 0.669 0.497 0.773
O 0.739 0.121 0.173
O 0.773 0.669 0.497
O 0.827 0.261 0.879
O 0.879 0.827 0.261
O 0.948 0.403 0.617
```

Values from the calculation:
DFT total energy: -250.18 eV per cell
Magnetization: 31.00 μB/cell
Space-group type: R-3 (148)